Record 1
Density functional theory data (PBE) for a relaxed structure of BaRe3O.

abc: 5.2908 5.2908 5.2908
angles: 90.00 90.00 90.00
Space group Pm-3m (No. 221)
Inequivalent atoms, fractional coordinates:
Ba 0.0000 0.0000 0.0000 x1
Re 0.0000 0.0000 0.5000 x3
O 0.5000 0.5000 0.5000 x1

Computed properties:
Crystal system = cubic
Polymorph energy (0 for the lowest one) = 3123 meV/atom

---

Record 2
Density functional theory data (PBE) for a relaxed structure of Ba6Re3O14.

abc: 9.4903 9.4903 5.7033
angles: 90.00 90.00 120.00
Space group P3 (No. 143)
Inequivalent atoms, fractional coordinates:
Ba 0.0412 0.5982 0.0000 x3
Ba 0.3244 0.1024 0.4743 x3
Re 0.0000 0.0000 0.9023 x1
Re 0.3333 0.6667 0.4490 x1
Re 0.6667 0.3333 0.8322 x1
O 0.0000 0.0000 0.2244 x1
O 0.0674 0.8655 0.7639 x3
O 0.1839 0.4716 0.3025 x3
O 0.3333 0.6667 0.7732 x1
O 0.4727 0.2001 0.0244 x3
O 0.5382 0.3985 0.6302 x3

Computed properties:
Crystal system = trigonal

---

Record 3
Density functional theory data (PBE) for a relaxed structure of BaRe2O.

abc: 5.8190 5.8190 10.4800
angles: 90.00 90.00 90.00
Space group I4_1/amd (No. 141, origin choice 2)
Inequivalent atoms, fractional coordinates:
Ba 0.0000 0.2500 0.3750 x4
Re 0.0000 0.0000 0.0000 x8
O 0.0000 0.2500 0.8750 x4

Computed properties:
Crystal system = tetragonal

---

Record 4
Density functional theory data (PBE) for a relaxed structure of BaRe2O8.

abc: 11.4138 5.5783 6.8546
angles: 90.00 111.87 90.00
Space group C2/m (No. 12)
Inequivalent atoms, fractional coordinates:
Ba 0.0000 0.0000 0.0000 x2
Re 0.2060 0.0000 0.6946 x4
O 0.1285 0.5000 0.1835 x4
O 0.1429 0.2459 0.7798 x8
O 0.1573 0.0000 0.4173 x4

Computed properties:
Crystal system = monoclinic
Polymorph energy (0 for the lowest one) = 0 meV/atom

---

| no. | size of the total moment (μB per formula unit) | formation energy (no corrections) (kJ per mole of atoms) |
| --- | --- | --- |
| 1 | 10.78 | 433 |
| 2 | 5.01 | -210 |
| 3 | 0.00 | 59 |
| 4 | 0.00 | -189 |